1.
Compound: HgBiH2
Source: the Alexandria database
Functional: PBE
Structure: optimized geometry

a b c (Å): 6.1410 6.1410 6.7701
angles (deg): 63.03 63.03 90.00
With the nearest neighbours (Å) after each atom.
Atoms (fractional coordinates):
H (0.8346, 0.1250, 0.2500)  2 Bi 2.03
H (0.9154, 0.6250, 0.2500)  2 Bi 2.03
H (0.3750, 0.1654, 0.7500)  2 Bi 2.03
H (0.8750, 0.0846, 0.7500)  2 Bi 2.03
Bi (0.0000, 0.0000, 0.0000)  4 H 2.03
Bi (0.7500, 0.2500, 0.5000)  4 H 2.03
Hg (0.5000, 0.5000, 0.0000)  8 H 3.47-3.88
Hg (0.2500, 0.7500, 0.5000)  8 H 3.47-3.88

Summary:
Space group ... No. 122
Distance to the lowest polymorph of the same formula ... 0.008 eV/atom

2.
Compound: FeNi2Ru
Source: the Alexandria database
Functional: PBE
Structure: optimized geometry

a b c (Å): 6.4410 6.4410 5.1543
angles (deg): 51.33 51.33 90.00
With the nearest neighbours (Å) after each atom.
Atoms (fractional coordinates):
Ru (0.0000, 0.0000, 0.0000)  2 Fe 2.41, 4 Ni 2.45
Ru (0.7500, 0.2500, 0.5000)  2 Fe 2.41, 4 Ni 2.45
Fe (0.5000, 0.5000, 0.0000)  4 Ni 2.26, 2 Ru 2.41
Fe (0.2500, 0.7500, 0.5000)  4 Ni 2.26, 2 Ru 2.41
Ni (0.6038, 0.1250, 0.2500)  2 Fe 2.26, 2 Ni 2.43, 2 Ru 2.45
Ni (0.1462, 0.6250, 0.2500)  2 Fe 2.26, 2 Ni 2.43, 2 Ru 2.45
Ni (0.3750, 0.3962, 0.7500)  2 Fe 2.26, 2 Ni 2.43, 2 Ru 2.45
Ni (0.8750, 0.8538, 0.7500)  2 Fe 2.26, 2 Ni 2.43, 2 Ru 2.45

Summary:
Space group ... No. 122
ΔH_f (0 K) ... 0.71 eV/atom

3.
Compound: MnRe2NiS
Source: the Alexandria database
Functional: PBE
Structure: optimized geometry

a b c (Å): 4.3104 4.0143 4.3104
angles (deg): 90.00 90.00 90.00
With the nearest neighbours (Å) after each atom.
Atoms (fractional coordinates):
Re (0.0000, 0.0000, 0.5000)  2 S 2.16
Re (0.5000, 0.0000, 0.0000)  2 S 2.16
S (0.0000, 0.0000, 0.0000)  2 Mn 2.01, 4 Re 2.16
Mn (0.0000, 0.5000, 0.0000)  2 S 2.01
Ni (0.5000, 0.5000, 0.5000)  8 Re 2.95, 4 Mn 3.05

Summary:
Space group ... No. 123
Formation energy from raw total energies ... 905 meV/atom

4.
Compound: RbNbClO3
Source: the Alexandria database
Functional: PBE
Structure: optimized geometry

a b c (Å): 5.7255 8.6200 7.3538
angles (deg): 54.12 79.15 71.26
With the nearest neighbours (Å) after each atom.
Atoms (fractional coordinates):
Rb (0.2500, 0.2980, 0.4040)  2 O 3.08, 2 Cl 3.10
Rb (0.7500, 0.7020, 0.5960)  2 O 3.08, 2 Cl 3.10
Nb (0.7500, 0.0478, 0.9045)  3 O 1.84-1.93
Nb (0.2500, 0.9522, 0.0955)  3 O 1.84-1.93
Cl (0.2500, 0.6025, 0.7949)  1 O 2.32
Cl (0.7500, 0.3975, 0.2051)  1 O 2.32
O (0.5198, 0.8948, 0.9242)  2 Nb 1.93-2.08
O (0.9802, 0.1811, 0.9242)  2 Nb 1.93-2.08
O (0.7500, 0.2024, 0.5952)  1 Nb 1.84
O (0.4802, 0.1052, 0.0758)  2 Nb 1.93-2.08
O (0.0198, 0.8189, 0.0758)  2 Nb 1.93-2.08
O (0.2500, 0.7976, 0.4048)  1 Nb 1.84

Summary:
Space group ... No. 15
Formation energy from raw total energies ... -1792 meV/atom

5.
Compound: MnFeAu2
Source: the Alexandria database
Functional: PBE
Structure: optimized geometry

a b c (Å): 4.9526 4.9526 4.9526
angles (deg): 133.36 133.36 68.09
With the nearest neighbours (Å) after each atom.
Atoms (fractional coordinates):
Au (0.0000, 0.0000, 0.0000)  4 Fe 2.77, 4 Mn 2.84, 4 Au 2.84
Au (0.2500, 0.7500, 0.5000)  4 Mn 2.77, 4 Au 2.84, 4 Fe 2.84
Fe (0.5000, 0.5000, 0.0000)  8 Au 2.77-2.84, 4 Mn 2.84
Mn (0.7500, 0.2500, 0.5000)  8 Au 2.77-2.84, 4 Fe 2.84

Summary:
Space group ... No. 119
ΔH_f (0 K) ... 0.13 eV/atom

6.
Compound: La4PrSn4
Source: the Alexandria database
Functional: PBE
Structure: optimized geometry

a b c (Å): 6.6074 9.7746 9.7746
angles (deg): 90.00 90.00 90.00
With the nearest neighbours (Å) after each atom.
Atoms (fractional coordinates):
La (0.3650, 0.2886, 0.9164)  4 Sn 3.17-3.44
La (0.8650, 0.5836, 0.7886)  4 Sn 3.17-3.44
La (0.3650, 0.7114, 0.0836)  4 Sn 3.17-3.44
La (0.1350, 0.2114, 0.5836)  4 Sn 3.17-3.44
La (0.6350, 0.9164, 0.7114)  4 Sn 3.17-3.44
La (0.1350, 0.7886, 0.4164)  4 Sn 3.17-3.44
La (0.8650, 0.4164, 0.2114)  4 Sn 3.17-3.44
La (0.6350, 0.0836, 0.2886)  4 Sn 3.17-3.44
Pr (0.0000, 0.0000, 0.0000)  4 Sn 3.05
Pr (0.5000, 0.5000, 0.5000)  4 Sn 3.05
Sn (0.6429, 0.7749, 0.3894)  1 Pr 3.05, 1 Sn 3.11, 3 La 3.17-3.37
Sn (0.6429, 0.2251, 0.6106)  1 Pr 3.05, 1 Sn 3.11, 3 La 3.17-3.37
Sn (0.1429, 0.8894, 0.7251)  1 Pr 3.05, 1 Sn 3.11, 3 La 3.17-3.37
Sn (0.8571, 0.2749, 0.8894)  1 Pr 3.05, 1 Sn 3.11, 3 La 3.17-3.37
Sn (0.8571, 0.7251, 0.1106)  1 Pr 3.05, 1 Sn 3.11, 3 La 3.17-3.37
Sn (0.3571, 0.3894, 0.2251)  1 Pr 3.05, 1 Sn 3.11, 3 La 3.17-3.37
Sn (0.3571, 0.6106, 0.7749)  1 Pr 3.05, 1 Sn 3.11, 3 La 3.17-3.37
Sn (0.1429, 0.1106, 0.2749)  1 Pr 3.05, 1 Sn 3.11, 3 La 3.17-3.37

Summary:
Space group ... No. 86
ΔH_f (0 K) ... -0.52 eV/atom

Magnetic moment (μB per formula unit)
0.00, 0.00, 0.00, 0.96, 6.91, 0.00